w | VASP calculation (PBE) on a relaxed Tb6PmHo3 crystal.

```
20
Lattice="6.3847 0.0000 0.0000 0.0000 10.0463 -5.7071 0.0000 -2.2271 11.3375" Properties=species:S:1:pos:R:3 pbc="T T T"
Ho 3.0999 2.8808 -1.2076
Tb 5.1794 -2.0421 11.0806
Tb 2.1047 2.5985 7.5298
Tb 0.4655 6.0441 2.8182
Pm 3.2535 8.0697 -2.9622
Tb 0.4655 3.2299 0.7917
Ho 6.2923 -0.2319 3.1151
Ho 3.0999 8.0510 2.5153
Tb 5.2970 5.2207 -1.8994
Tb 1.9871 9.8613 -5.4502
Tb 1.8627 6.3463 -0.5688
Ho 0.6169 2.9131 4.1990
Pm 0.0612 -0.2506 8.5926
Tb 3.6578 4.5893 4.8386
Tb 5.2970 7.9652 0.0768
Ho 3.8093 4.9060 1.4314
Tb 2.1047 -0.1460 5.5536
Ho 6.2923 4.9384 6.8380
Tb 3.6578 1.7750 2.8121
Tb 5.0550 1.4728 6.1992
```

crystal system	orthorhombic
D(E_F)	29.88	states/eV per cell
SG	No. 36

x | VASP calculation (PBE) on a relaxed Tb6PmHo3 crystal.

```
20
Lattice="-1.2603 -0.1000 6.0623 10.2005 -3.5069 2.0627 -2.1089 10.7744 -0.2608" Properties=species:S:1:pos:R:3 pbc="T T T"
Tb 3.2226 1.7859 0.9220
Ho 4.1386 7.4973 7.0456
Tb 7.5322 2.3402 7.0820
Tb -2.7014 10.0374 5.3723
Tb 9.1247 -2.9021 4.4545
Ho 2.5855 5.2151 1.0806
Tb 6.5550 0.5019 2.2651
Ho -1.1744 2.7254 5.8624
Pm 6.8735 -0.6486 5.4748
Tb 1.4801 3.0264 3.7432
Ho 2.1679 -0.3713 3.3432
Tb 0.5503 6.6874 4.2818
Tb 2.9946 8.3858 3.0754
Tb -0.9930 4.8043 2.1874
Tb 4.1502 5.4246 4.3378
Tb 5.8926 4.1841 1.5167
Ho 7.4809 4.4006 4.5264
Tb 3.5447 -1.2413 6.1940
Ho 4.6938 1.9880 4.6287
Pm 0.2319 7.8379 1.0711
```

crystal system	orthorhombic
D(E_F)	28.22	states/eV per cell
SG	No. 36

Which of them is most stable, and which least? Most stable: w; least stable: x.

w | VASP calculation (PBE) on a relaxed Tb3Pm4Ho crystal.

```
8
Lattice="3.4678 0.0000 -0.4375 -0.1758 6.6699 -1.3931 -0.2656 -0.9870 11.8565" Properties=species:S:1:pos:R:3 pbc="T T T"
Pm 0.2987 2.2063 2.3672
Pm 2.7278 3.4766 7.6586
Pm 0.6278 4.5776 4.9758
Tb 0.2059 5.6387 1.6320
Ho 1.7339 0.0000 -0.2188
Tb 2.8206 0.0442 8.3938
Pm 2.3987 1.1053 5.0500
Tb -0.0879 3.3350 -0.6965
```

crystal system	monoclinic
D(E_F)	13.79	states/eV per cell
SG	No. 12

x | VASP calculation (PBE) on a relaxed Tb3Pm4Ho crystal.

```
16
Lattice="6.3162 0.0000 0.0000 0.0000 7.3200 0.0000 0.0000 0.0000 11.5616" Properties=species:S:1:pos:R:3 pbc="T T T"
Ho 0.9338 2.7651 0.0000
Pm 0.9275 6.3909 5.7808
Tb 3.0364 2.7631 2.8907
Tb 6.1945 4.5568 8.6715
Pm 4.0856 0.9290 0.0000
Pm 4.0942 0.9266 5.7808
Tb 0.9348 2.7600 5.7808
Pm 3.0409 6.3886 2.8980
Ho 4.0919 4.5549 5.7808
Pm 0.9361 6.3933 0.0000
Tb 6.1945 4.5568 2.8901
Pm 6.1990 0.9314 2.8828
Tb 3.0364 2.7631 8.6709
Pm 3.0409 6.3886 8.6636
Pm 6.1990 0.9314 8.6788
Tb 4.0929 4.5600 0.0000
```

crystal system	orthorhombic
D(E_F)	28.56	states/eV per cell
SG	No. 31

Which of them is most stable, and which least? Most stable: x; least stable: w.

w | VASP calculation (PBE) on a relaxed Tb4Pm2Ho5 crystal.

```
11
Lattice="3.4954 0.0000 0.0000 0.0000 9.0492 0.0000 -1.7477 -4.5246 11.5725" Properties=species:S:1:pos:R:3 pbc="T T T"
Pm 0.0000 0.0000 6.2074
Pm 1.7477 4.5246 5.3651
Ho 1.7477 2.7573 8.2692
Tb 0.0000 6.2771 0.0000
Tb 0.0000 0.0000 9.3312
Ho 0.0000 7.2819 3.3033
Ho 1.7477 -2.7573 8.2692
Ho 1.7477 0.0000 0.0000
Tb 1.7477 4.5246 2.2413
Ho 0.0000 1.7672 3.3033
Tb 0.0000 2.7721 0.0000
```

crystal system	orthorhombic
D(E_F)	16.54	states/eV per cell
SG	No. 71

x | VASP calculation (PBE) on a relaxed Tb4Pm2Ho5 crystal.

```
11
Lattice="-1.7359 -1.8987 2.4556 -3.9834 -0.6953 -8.5042 7.5383 -9.0393 0.9000" Properties=species:S:1:pos:R:3 pbc="T T T"
Tb -0.4032 -5.0745 -1.6364
Tb 3.1130 -9.9496 -2.9304
Ho -0.8679 -0.9493 1.2278
Tb 2.2222 -6.5588 -3.5122
Ho 1.7836 -7.2838 -6.9596
Ho -0.8486 -5.8153 -5.1045
Ho 2.6676 -5.8180 -0.0442
Ho 0.0354 -4.3495 1.8110
Pm 3.5835 -9.2115 0.5512
Pm -1.7645 -2.4219 -5.6999
Tb -1.2940 -1.6838 -2.2182
```

crystal system	triclinic
D(E_F)	14.43	states/eV per cell
SG	No. 2

Which of them is most stable, and which least? Most stable: x; least stable: w.

w | VASP calculation (PBE) on a relaxed Tb8Pm4Ho3 crystal.

```
15
Lattice="6.1290 0.0000 3.3055 2.1731 5.7308 3.3055 -2.5737 -1.7765 12.1069" Properties=species:S:1:pos:R:3 pbc="T T T"
Tb 0.1578 0.1089 10.6903
Tb 2.4899 3.8454 6.3661
Pm 0.2452 0.1692 14.2152
Pm 5.4833 3.7850 4.5028
Tb 1.2501 2.9896 12.3519
Tb 1.3518 0.9331 4.8284
Tb 4.3766 3.0211 13.8896
Ho 1.7777 -0.8883 7.7062
Ho -1.2868 -0.8883 6.0535
Tb 4.4784 0.9647 6.3661
Tb 3.2386 0.1089 12.3519
Ho -0.2003 1.9771 7.7062
Tb 5.5707 3.8454 8.0276
Pm 2.8642 1.9771 9.3590
Pm 0.0000 0.0000 0.0000
```

crystal system	trigonal
D(E_F)	22.95	states/eV per cell
SG	No. 166

x | VASP calculation (PBE) on a relaxed Tb8Pm4Ho3 crystal.

```
15
Lattice="-2.0244 6.1188 2.0968 -7.1362 -5.0520 -3.1571 0.5220 -6.0207 7.0635" Properties=species:S:1:pos:R:3 pbc="T T T"
Tb -2.4442 -2.7142 5.5042
Tb -6.1944 -2.2398 0.4991
Ho -4.3193 -2.4770 3.0016
Pm 0.2610 -3.0104 3.5318
Pm -1.0122 3.0594 1.0484
Ho -4.5803 0.5334 -0.5301
Pm -3.5681 -2.5260 -1.5785
Tb -6.8425 -1.9579 4.9414
Tb -2.8073 0.2274 2.1251
Tb -4.3795 -5.4007 0.5220
Tb -1.7961 -2.9960 1.0618
Ho -0.7512 0.0490 4.5802
Pm 0.0000 0.0000 0.0000
Tb -5.8312 -5.1813 3.8782
Tb -2.2347 -5.6720 3.3845
```

crystal system	monoclinic
D(E_F)	29.40	states/eV per cell
SG	No. 12

Which of them is most stable, and which least? Most stable: w; least stable: x.

w | VASP calculation (PBE) on a relaxed Tb2Pm2Ho crystal.

```
10
Lattice="1.7898 -5.5476 1.9085 1.7594 -5.5785 -8.0093 6.8590 -2.7293 -4.5098" Properties=species:S:1:pos:R:3 pbc="T T T"
Ho 4.0592 -8.0428 -6.0416
Tb 8.3669 -8.3304 -10.8224
Tb 3.7806 -3.3174 -4.8584
Tb 2.0414 -5.5251 0.2118
Ho 6.3491 -5.8127 -4.5689
Pm 7.2399 -7.4193 -7.6174
Pm 7.6639 -11.1675 -9.0540
Pm 2.7444 -2.6880 -1.5565
Tb 6.6278 -10.5381 -5.7522
Pm 3.1684 -6.4362 -2.9931
```

crystal system	monoclinic
D(E_F)	17.48	states/eV per cell
SG	No. 15

x | VASP calculation (PBE) on a relaxed Tb2Pm2Ho crystal.

```
5
Lattice="4.5788 0.0000 0.0000 0.0000 4.5788 0.0000 -2.2894 -2.2894 8.2447" Properties=species:S:1:pos:R:3 pbc="T T T"
Pm 0.0000 2.2894 4.1224
Ho 0.0000 0.0000 0.0000
Tb 0.0000 0.0000 6.7183
Tb 2.2894 2.2894 1.5264
Pm 2.2894 0.0000 4.1224
```

crystal system	tetragonal
D(E_F)	8.91	states/eV per cell
SG	No. 139

Which of them is most stable, and which least? Most stable: w; least stable: x.

w | VASP calculation (PBE) on a relaxed Tb3Pm2Ho7 crystal.

```
12
Lattice="-1.5981 -0.9498 -3.0037 5.2219 -3.1372 -1.7863 -5.9186 -14.2058 7.6412" Properties=species:S:1:pos:R:3 pbc="T T T"
Pm -2.2233 -11.5982 2.7733
Ho 0.1823 -9.9634 0.9765
Ho -3.2577 -12.8965 5.8114
Ho 2.5610 -4.4465 0.0435
Ho 0.0000 0.0000 0.0000
Tb 1.3201 -12.4925 3.2480
Ho -0.8786 -3.3692 -0.5443
Ho -2.4771 -8.3294 1.8747
Tb -2.0168 -4.8504 2.6069
Pm -0.0716 -6.6946 0.0779
Ho -1.4163 -14.9237 3.3955
Tb 1.8119 -2.0435 -2.3950
```

crystal system	monoclinic
D(E_F)	17.61	states/eV per cell
SG	No. 10

x | VASP calculation (PBE) on a relaxed Tb3Pm2Ho7 crystal.

```
12
Lattice="3.5720 0.0000 0.0000 0.0000 5.7687 -0.2993 0.0000 -3.6886 18.8713" Properties=species:S:1:pos:R:3 pbc="T T T"
Tb 1.7860 2.8844 -0.1496
Ho 1.7860 -0.3681 10.0672
Tb 0.0000 -0.5080 6.9214
Ho 1.7860 2.4483 8.5049
Pm 1.7860 -0.2196 13.2115
Ho 1.7860 -2.9773 15.5764
Tb 0.0000 2.5882 11.6506
Ho 0.0000 -0.0379 16.0302
Ho 0.0000 0.0000 0.0000
Ho 1.7860 5.0574 2.9957
Ho 0.0000 2.1181 2.5419
Pm 1.7860 2.2997 5.3605
```

crystal system	monoclinic
D(E_F)	14.49	states/eV per cell
SG	No. 10

Which of them is most stable, and which least? Most stable: w; least stable: x.

w | VASP calculation (PBE) on a relaxed Tb4Pm5Ho2 crystal.

```
11
Lattice="-0.3819 -3.2073 -1.4780 11.3712 -0.2310 -2.4369 1.1797 -2.1690 8.6701" Properties=species:S:1:pos:R:3 pbc="T T T"
Pm 11.0159 -4.2552 2.1191
Pm -0.1910 -1.6036 -0.7390
Ho 4.2536 -3.3126 1.8210
Pm 1.1530 -1.3521 2.6361
Tb 9.1367 -5.2738 4.8149
Pm 6.2849 -0.8528 0.2266
Tb 9.1277 -2.8497 -0.4429
Tb 3.0412 -2.7576 5.1981
Tb 3.0323 -0.3336 -0.0597
Pm 5.8840 -4.7545 4.5286
Ho 7.9153 -2.2947 2.9342
```

crystal system	monoclinic
D(E_F)	15.70	states/eV per cell
SG	No. 12

x | VASP calculation (PBE) on a relaxed Tb4Pm5Ho2 crystal.

```
11
Lattice="-1.1718 2.9799 -1.4617 -4.3306 -4.8646 -6.4456 -6.8215 0.4976 10.7209" Properties=species:S:1:pos:R:3 pbc="T T T"
Pm -6.2789 -4.0157 -3.1531
Tb -4.6062 -1.0285 -2.6423
Ho -5.1613 -0.2398 3.6487
Pm -8.6309 -0.2761 2.1180
Ho -7.1626 -1.1473 -0.8351
Tb -1.3388 -1.5039 -1.9927
Pm -0.5859 1.4900 -0.7309
Tb -2.9918 -3.3607 -4.4529
Pm -3.6931 -1.1110 0.6956
Tb -7.7178 -0.3586 5.4560
Pm -6.0450 2.6286 5.9667
```

crystal system	orthorhombic
D(E_F)	17.54	states/eV per cell
SG	No. 71

Which of them is most stable, and which least? Most stable: w; least stable: x.

w | VASP calculation (PBE) on a relaxed TbPm4Ho3 crystal.

```
8
Lattice="-2.4589 3.9563 -3.2583 -2.4990 -2.4114 -1.0421 -6.3389 1.5388 11.6110" Properties=species:S:1:pos:R:3 pbc="T T T"
Pm -5.4371 0.7441 5.0066
Ho -2.2894 1.0627 3.0181
Pm -7.2567 1.5842 7.3999
Pm -4.0401 1.4994 -0.0894
Ho -1.2495 -1.2057 -0.5211
Tb -1.2295 1.9781 -1.6292
Ho -9.0073 2.0209 4.2924
Pm -5.8596 2.3396 2.3039
```

crystal system	orthorhombic
D(E_F)	12.04	states/eV per cell
SG	No. 65

x | VASP calculation (PBE) on a relaxed TbPm4Ho3 crystal.

```
16
Lattice="6.3047 0.0000 0.0000 0.0000 7.3104 0.0000 0.0000 0.0000 11.5112" Properties=species:S:1:pos:R:3 pbc="T T T"
Pm 4.0683 0.9312 5.7556
Ho 3.0319 2.7638 2.8799
Ho 0.9305 2.7682 5.7556
Pm 3.0356 6.3819 2.8618
Pm 0.9160 6.3792 0.0000
Ho 6.1842 4.5466 8.6355
Pm 6.1880 0.9286 8.6174
Tb 4.0897 4.5539 5.7556
Tb 0.9373 2.7565 0.0000
Pm 0.9391 6.3743 5.7556
Ho 4.0829 4.5423 0.0000
Pm 6.1880 0.9286 2.8938
Pm 3.0356 6.3819 8.6494
Pm 4.0914 0.9361 0.0000
Ho 6.1842 4.5466 2.8757
Ho 3.0319 2.7638 8.6313
```

crystal system	orthorhombic
D(E_F)	29.10	states/eV per cell
SG	No. 31

Which of them is most stable, and which least? Most stable: x; least stable: w.